Material: SmTm8Mg6
Method: DFT, PBE-GGA
State: optimized geometry

Total magnetic moment ... 0.000 μB/atom
VASP energy ... -3.12 eV per atom
Energy of formation ... 0.218 eV per atom
SG ... R-3, No. 148

a = 9.0412 Å, b = 9.0412 Å, c = 8.2440 Å
α = 56.75°, β = 56.75°, γ = 60.00°
Fractional coordinates of all 15 atoms:
Mg (0.9553, 0.2858, 0.1454)
Mg (0.7142, 0.3865, 0.8546)
Mg (0.3865, 0.0447, 0.8546)
Mg (0.0447, 0.7142, 0.8546)
Mg (0.6135, 0.9553, 0.1454)
Mg (0.2858, 0.6135, 0.1454)
Tm (0.8820, 0.5491, 0.3514)
Tm (0.1180, 0.4509, 0.6486)
Tm (0.3410, 0.3410, 0.9771)
Tm (0.2175, 0.8820, 0.3514)
Tm (0.5491, 0.2175, 0.3514)
Tm (0.6590, 0.6590, 0.0229)
Tm (0.7825, 0.1180, 0.6486)
Tm (0.4509, 0.7825, 0.6486)
Sm (0.0000, 0.0000, 0.0000)

Material: Sm2Tm2Mg5
Method: DFT, PBE-GGA
State: optimized geometry

Total magnetic moment ... 0.000 μB/atom
VASP energy ... -2.85 eV per atom
Energy of formation ... 0.082 eV per atom
SG ... Ima2, No. 46

a = 11.3604 Å, b = 6.3499 Å, c = 9.5435 Å
α = 109.43°, β = 126.53°, γ = 90.00°
Fractional coordinates of all 18 atoms:
Mg (0.6141, 0.6913, 0.7125)
Mg (0.3859, 0.9788, 0.2875)
Mg (0.8104, 0.8092, 0.1244)
Mg (0.0179, 0.6967, 0.5000)
Mg (0.1896, 0.6848, 0.8756)
Mg (0.4016, 0.4788, 0.2875)
Mg (0.9821, 0.1967, 0.5000)
Mg (0.5984, 0.1913, 0.7125)
Mg (0.1860, 0.1848, 0.8756)
Mg (0.8140, 0.3092, 0.1244)
Sm (0.2604, 0.3415, 0.5000)
Sm (0.7396, 0.8415, 0.5000)
Sm (0.5000, 0.5234, 0.0000)
Sm (0.0000, 0.0234, 0.0000)
Tm (0.6174, 0.1780, 0.2458)
Tm (0.1283, 0.6780, 0.2458)
Tm (0.8717, 0.4322, 0.7542)
Tm (0.3826, 0.9322, 0.7542)

Material: Sm8Tm5Mg
Method: DFT, PBE-GGA
State: optimized geometry

Total magnetic moment ... 0.000 μB/atom
VASP energy ... -4.17 eV per atom
Energy of formation ... 0.238 eV per atom
SG ... I-4, No. 82

a = 8.4777 Å, b = 8.4776 Å, c = 8.4776 Å
α = 110.53°, β = 107.37°, γ = 110.53°
Fractional coordinates of all 14 atoms:
Sm (0.3463, 0.2752, 0.4343)
Sm (0.0818, 0.7363, 0.4775)
Sm (0.9289, 0.0880, 0.6537)
Sm (0.7412, 0.2637, 0.3455)
Sm (0.6545, 0.3957, 0.9182)
Sm (0.5657, 0.9120, 0.8409)
Sm (0.1591, 0.7248, 0.0711)
Sm (0.5225, 0.6043, 0.2588)
Mg (0.2500, 0.5000, 0.7500)
Tm (0.8781, 0.9032, 0.1835)
Tm (0.2803, 0.0968, 0.9749)
Tm (0.5000, 0.0000, 0.5000)
Tm (0.0251, 0.3054, 0.1219)
Tm (0.8165, 0.6946, 0.7197)

Material: SmTm6Mg2
Method: DFT, PBE-GGA
State: optimized geometry

Total magnetic moment ... 0.000 μB/atom
VASP energy ... -3.87 eV per atom
Energy of formation ... -0.013 eV per atom
SG ... C2/m, No. 12

a = 3.6980 Å, b = 6.5211 Å, c = 11.7315 Å
α = 74.79°, β = 80.93°, γ = 73.53°
Fractional coordinates of all 9 atoms:
Tm (0.9853, 0.6833, 0.3462)
Tm (0.3204, 0.4835, 0.8757)
Tm (0.3133, 0.7918, 0.5816)
Tm (0.6796, 0.5165, 0.1243)
Tm (0.6867, 0.2082, 0.4184)
Tm (0.0147, 0.3167, 0.6538)
Mg (0.6504, 0.9145, 0.7847)
Mg (0.3496, 0.0855, 0.2153)
Sm (0.0000, 0.0000, 0.0000)

Material: SmTmMg
Method: DFT, PBE-GGA
State: optimized geometry

Total magnetic moment ... 0.000 μB/atom
VASP energy ... -3.57 eV per atom
Energy of formation ... 0.028 eV per atom
SG ... Pc, No. 7

a = 5.4277 Å, b = 3.4378 Å, c = 9.4096 Å
α = 90.00°, β = 89.99°, γ = 90.00°
Fractional coordinates of all 6 atoms:
Tm (0.9772, 0.6422, 0.4034)
Tm (0.4770, 0.6422, 0.9251)
Mg (0.9764, 0.1413, 0.0840)
Mg (0.4766, 0.1417, 0.2442)
Sm (0.9772, 0.1425, 0.7438)
Sm (0.4772, 0.1423, 0.5846)

Material: SmTmMg5
Method: DFT, PBE-GGA
State: optimized geometry

Total magnetic moment ... 0.000 μB/atom
VASP energy ... -2.35 eV per atom
Energy of formation ... 0.106 eV per atom
SG ... C2/m, No. 12

a = 5.8068 Å, b = 5.8067 Å, c = 6.6401 Å
α = 100.77°, β = 100.77°, γ = 114.35°
Fractional coordinates of all 7 atoms:
Tm (0.5000, 0.5000, 0.5000)
Mg (0.9161, 0.4906, 0.2290)
Mg (0.5094, 0.0839, 0.7710)
Mg (0.4906, 0.9161, 0.2290)
Mg (0.0839, 0.5094, 0.7710)
Mg (0.0000, 0.0000, 0.5000)
Sm (0.0000, 0.0000, 0.0000)

Material: SmTm2Mg
Method: DFT, PBE-GGA
State: optimized geometry

Total magnetic moment ... 0.000 μB/atom
VASP energy ... -3.84 eV per atom
Energy of formation ... -0.022 eV per atom
SG ... P4/mmm, No. 123

a = 3.5756 Å, b = 3.5756 Å, c = 9.1807 Å
α = 90.00°, β = 90.00°, γ = 90.00°
Fractional coordinates of all 4 atoms:
Mg (0.5000, 0.5000, 0.0000)
Sm (0.5000, 0.5000, 0.5000)
Tm (0.0000, 0.0000, 0.7691)
Tm (0.0000, 0.0000, 0.2309)

Material: Sm5TmMg4
Method: DFT, PBE-GGA
State: optimized geometry

Total magnetic moment ... 0.000 μB/atom
VASP energy ... -3.51 eV per atom
Energy of formation ... -0.068 eV per atom
SG ... P4/mmm, No. 123

a = 3.7944 Å, b = 3.7944 Å, c = 20.3126 Å
α = 90.00°, β = 90.00°, γ = 90.00°
Fractional coordinates of all 10 atoms:
Mg (0.0000, 0.0000, 0.5964)
Mg (0.0000, 0.0000, 0.7885)
Mg (0.0000, 0.0000, 0.4036)
Mg (0.0000, 0.0000, 0.2115)
Sm (0.5000, 0.5000, 0.1147)
Sm (0.5000, 0.5000, 0.3081)
Sm (0.5000, 0.5000, 0.6919)
Sm (0.5000, 0.5000, 0.5000)
Sm (0.5000, 0.5000, 0.8853)
Tm (0.0000, 0.0000, 0.0000)

Material: SmTm3Mg4
Method: DFT, PBE-GGA
State: optimized geometry

Total magnetic moment ... 0.000 μB/atom
VASP energy ... -3.13 eV per atom
Energy of formation ... -0.069 eV per atom
SG ... P4/mmm, No. 123

a = 5.3374 Å, b = 7.5575 Å, c = 10.6750 Å
α = 90.00°, β = 90.00°, γ = 90.00°
Fractional coordinates of all 16 atoms:
Mg (0.9999, 0.7536, 0.7500)
Mg (0.0001, 0.7536, 0.2500)
Mg (0.5000, 0.2463, 0.0000)
Mg (0.5000, 0.7537, 0.5000)
Mg (0.5000, 0.7537, 0.0000)
Mg (0.0001, 0.2464, 0.2500)
Mg (0.5000, 0.2463, 0.5000)
Mg (0.9999, 0.2464, 0.7500)
Tm (0.0000, 0.0000, 0.5000)
Tm (0.5000, 0.5000, 0.2500)
Tm (0.0000, 0.0000, 0.0000)
Tm (0.5000, 0.5000, 0.7500)
Tm (0.4999, 0.0000, 0.7500)
Tm (0.5001, 0.0000, 0.2500)
Sm (0.0000, 0.5000, 0.5000)
Sm (0.0000, 0.5000, 0.0000)

Material: Sm3Tm3Mg2
Method: DFT, PBE-GGA
State: optimized geometry

Total magnetic moment ... 0.000 μB/atom
VASP energy ... -3.77 eV per atom
Energy of formation ... 0.070 eV per atom
SG ... Cmcm, No. 63

a = 5.2972 Å, b = 6.4098 Å, c = 15.6650 Å
α = 90.00°, β = 90.00°, γ = 114.41°
Fractional coordinates of all 16 atoms:
Tm (0.3549, 0.7099, 0.9645)
Tm (0.5224, 0.0448, 0.7500)
Tm (0.6451, 0.2901, 0.0355)
Tm (0.3549, 0.7099, 0.5355)
Tm (0.4776, 0.9552, 0.2500)
Tm (0.6451, 0.2901, 0.4645)
Sm (0.7537, 0.5075, 0.2500)
Sm (0.9611, 0.9222, 0.1034)
Sm (0.0389, 0.0778, 0.8966)
Sm (0.9611, 0.9222, 0.3966)
Sm (0.0389, 0.0778, 0.6034)
Sm (0.2463, 0.4925, 0.7500)
Mg (0.7697, 0.5393, 0.6443)
Mg (0.2303, 0.4607, 0.3557)
Mg (0.2303, 0.4607, 0.1443)
Mg (0.7697, 0.5393, 0.8557)

Material: Sm3TmMg8
Method: DFT, PBE-GGA
State: optimized geometry

Total magnetic moment ... 0.000 μB/atom
VASP energy ... -2.70 eV per atom
Energy of formation ... -0.081 eV per atom
SG ... R3m, No. 160

a = 6.0804 Å, b = 6.0804 Å, c = 10.4875 Å
α = 73.15°, β = 73.15°, γ = 60.00°
Fractional coordinates of all 12 atoms:
Sm (0.5005, 0.5005, 0.4985)
Sm (0.3753, 0.3753, 0.8741)
Sm (0.9992, 0.9992, 0.0023)
Mg (0.4373, 0.9364, 0.1890)
Mg (0.9364, 0.4373, 0.1890)
Mg (0.6876, 0.6876, 0.9373)
Mg (0.9376, 0.9376, 0.6857)
Mg (0.4392, 0.9376, 0.6857)
Mg (0.4373, 0.4373, 0.1890)
Mg (0.1874, 0.1874, 0.4379)
Mg (0.9376, 0.4392, 0.6857)
Tm (0.8747, 0.8747, 0.3758)

Material: Sm2Tm9Mg
Method: DFT, PBE-GGA
State: optimized geometry

Total magnetic moment ... 0.000 μB/atom
VASP energy ... -4.25 eV per atom
Energy of formation ... 0.027 eV per atom
SG ... P4/mmm, No. 123

a = 4.9393 Å, b = 4.9393 Å, c = 14.8420 Å
α = 90.00°, β = 90.00°, γ = 90.00°
Fractional coordinates of all 12 atoms:
Tm (0.5000, 0.5000, 0.3283)
Tm (0.0000, 0.5000, 0.5000)
Tm (0.5000, 0.0000, 0.1634)
Tm (0.5000, 0.0000, 0.8366)
Tm (0.0000, 0.5000, 0.8366)
Tm (0.5000, 0.5000, 0.0000)
Tm (0.0000, 0.5000, 0.1634)
Tm (0.5000, 0.5000, 0.6717)
Tm (0.5000, 0.0000, 0.5000)
Mg (0.0000, 0.0000, 0.0000)
Sm (0.0000, 0.0000, 0.3325)
Sm (0.0000, 0.0000, 0.6675)

total magnetic moment of number 3 (Sm8Tm5Mg)? 0.000 μB/atom